A relaxed structure of Zr4HAu2. Source: the Alexandria database, functional PBE.

```
data_Zr4HAu2
_symmetry_space_group_name_H-M 'I 4/m m m'
_symmetry_Int_Tables_number 139
_symmetry_space_group_name_Hall '-I 4 2'
_cell_length_a 4.1779
_cell_length_b 4.1779
_cell_length_c 15.1984
_cell_angle_alpha 90.00
_cell_angle_beta 90.00
_cell_angle_gamma 90.00
loop_
_atom_site_label
_atom_site_type_symbol
_atom_site_fract_x
_atom_site_fract_y
_atom_site_fract_z
_atom_site_occupancy
Zr1 Zr 0.0000 0.0000 0.1811 1
Zr2 Zr 0.0000 0.5000 0.0000 1
H1 H 0.0000 0.0000 0.0000 1
Au1 Au 0.0000 0.0000 0.3596 1
```

Results
Total DFT energy (no corrections) in eV per atom: -6.6206
Total magnetic moment in μB/atom: 0.000

---

A relaxed structure of Zr3HAu. Source: the Alexandria database, functional PBE.

```
data_Zr3HAu
_symmetry_space_group_name_H-M 'P m -3 m'
_symmetry_Int_Tables_number 221
_symmetry_space_group_name_Hall '-P 4 2 3'
_cell_length_a 4.4159
_cell_length_b 4.4159
_cell_length_c 4.4159
_cell_angle_alpha 90.00
_cell_angle_beta 90.00
_cell_angle_gamma 90.00
loop_
_atom_site_label
_atom_site_type_symbol
_atom_site_fract_x
_atom_site_fract_y
_atom_site_fract_z
_atom_site_occupancy
Zr1 Zr 0.0000 0.0000 0.5000 1
H1 H 0.0000 0.0000 0.0000 1
Au1 Au 0.5000 0.5000 0.5000 1
```

Results
Energy above the most stable polymorph in this dataset in kJ/mol of formula units: 0.0
Total magnetic moment in μB/atom: 0.000

---

A relaxed structure of ZrH3Au. Source: the Alexandria database, functional PBE.

```
data_ZrH3Au
_symmetry_space_group_name_H-M 'P m -3 m'
_symmetry_Int_Tables_number 221
_symmetry_space_group_name_Hall '-P 4 2 3'
_cell_length_a 3.8030
_cell_length_b 3.8030
_cell_length_c 3.8030
_cell_angle_alpha 90.00
_cell_angle_beta 90.00
_cell_angle_gamma 90.00
loop_
_atom_site_label
_atom_site_type_symbol
_atom_site_fract_x
_atom_site_fract_y
_atom_site_fract_z
_atom_site_occupancy
Zr1 Zr 0.0000 0.0000 0.0000 1
H1 H 0.0000 0.0000 0.5000 1
Au1 Au 0.5000 0.5000 0.5000 1
```

Results
Total DFT energy (no corrections) in eV per atom: -4.3430
Total magnetic moment in μB/atom: 0.000

---

A relaxed structure of ZrHAu3. Source: the Alexandria database, functional PBE.

```
data_ZrHAu3
_symmetry_space_group_name_H-M 'P m -3 m'
_symmetry_Int_Tables_number 221
_symmetry_space_group_name_Hall '-P 4 2 3'
_cell_length_a 4.3151
_cell_length_b 4.3151
_cell_length_c 4.3151
_cell_angle_alpha 90.00
_cell_angle_beta 90.00
_cell_angle_gamma 90.00
loop_
_atom_site_label
_atom_site_type_symbol
_atom_site_fract_x
_atom_site_fract_y
_atom_site_fract_z
_atom_site_occupancy
Zr1 Zr 0.0000 0.0000 0.0000 1
H1 H 0.5000 0.5000 0.5000 1
Au1 Au 0.0000 0.5000 0.5000 1
```

Results
Energy above the most stable polymorph in this dataset in kJ/mol of formula units: 0.0
Total magnetic moment in μB/atom: 0.000

---

A relaxed structure of ZrHAu2. Source: the Alexandria database, functional PBE.

```
data_ZrHAu2
_symmetry_space_group_name_H-M 'I -4 2 d'
_symmetry_Int_Tables_number 122
_symmetry_space_group_name_Hall 'I -4 2bw'
_cell_length_a 6.1017
_cell_length_b 6.1017
_cell_length_c 7.0862
_cell_angle_alpha 90.00
_cell_angle_beta 90.00
_cell_angle_gamma 90.00
loop_
_atom_site_label
_atom_site_type_symbol
_atom_site_fract_x
_atom_site_fract_y
_atom_site_fract_z
_atom_site_occupancy
Zr1 Zr 0.0000 0.0000 0.0000 1
H1 H 0.0000 0.0000 0.5000 1
Au1 Au 0.1343 0.2500 0.6250 1
```

Results
Energy above the most stable polymorph in this dataset in kJ/mol of formula units: 184.4
Total magnetic moment in μB/atom: 0.000

---

A relaxed structure of Zr4HAu. Source: the Alexandria database, functional PBE.

```
data_Zr4HAu
_symmetry_space_group_name_H-M 'C 1 2/c 1'
_symmetry_Int_Tables_number 15
_symmetry_space_group_name_Hall '-C 2yc'
_cell_length_a 7.2695
_cell_length_b 14.0742
_cell_length_c 5.3456
_cell_angle_alpha 90.00
_cell_angle_beta 123.47
_cell_angle_gamma 90.00
loop_
_atom_site_label
_atom_site_type_symbol
_atom_site_fract_x
_atom_site_fract_y
_atom_site_fract_z
_atom_site_occupancy
Zr1 Zr 0.1397 0.2140 0.1296 1
Zr2 Zr 0.2190 0.0651 0.6073 1
H1 H 0.0000 0.0225 0.7500 1
Au1 Au 0.0000 0.3972 0.7500 1
```

Results
Total DFT energy (no corrections) in eV per atom: -7.0497
Total magnetic moment in μB/atom: 0.000

---

A relaxed structure of ZrH3Au. Source: the Alexandria database, functional PBE.

```
data_ZrH3Au
_symmetry_space_group_name_H-M 'P m -3 m'
_symmetry_Int_Tables_number 221
_symmetry_space_group_name_Hall '-P 4 2 3'
_cell_length_a 3.6852
_cell_length_b 3.6852
_cell_length_c 3.6852
_cell_angle_alpha 90.00
_cell_angle_beta 90.00
_cell_angle_gamma 90.00
loop_
_atom_site_label
_atom_site_type_symbol
_atom_site_fract_x
_atom_site_fract_y
_atom_site_fract_z
_atom_site_occupancy
Zr1 Zr 0.0000 0.0000 0.0000 1
H1 H 0.0000 0.5000 0.5000 1
Au1 Au 0.5000 0.5000 0.5000 1
```

Results
Total DFT energy (no corrections) in eV per atom: -4.1898
Total magnetic moment in μB/atom: 0.000

---

A relaxed structure of Zr3HAu. Source: the Alexandria database, functional PBE.

```
data_Zr3HAu
_symmetry_space_group_name_H-M 'A m m 2'
_symmetry_Int_Tables_number 38
_symmetry_space_group_name_Hall 'A 2 -2'
_cell_length_a 3.2176
_cell_length_b 9.2180
_cell_length_c 12.1124
_cell_angle_alpha 90.00
_cell_angle_beta 90.00
_cell_angle_gamma 90.00
loop_
_atom_site_label
_atom_site_type_symbol
_atom_site_fract_x
_atom_site_fract_y
_atom_site_fract_z
_atom_site_occupancy
Zr1 Zr 0.0000 0.0000 0.0000 1
Zr2 Zr 0.0000 0.0000 0.4266 1
Zr3 Zr 0.5000 0.2081 0.5860 1
Zr4 Zr 0.5000 0.2087 0.8404 1
H1 H 0.0000 0.2504 0.4633 1
Au1 Au 0.0000 0.0000 0.7136 1
Au2 Au 0.5000 0.0000 0.2132 1
```

Results
Energy above the most stable polymorph in this dataset in kJ/mol of formula units: 56.9
Total magnetic moment in μB/atom: 0.000

---

Q: Number 2 is which compound?
A: Zr3HAu

---

Q: Look up the total magnetic moment of the third one.
A: 0.000 μB/atom